# 1
## OsW4 (GGA-PBE)

Data for OsW4 after structural relaxation.

The structure belongs to space group Im-3m (No. 229); the cell edges are 5.8242, 5.8242 and 5.8242 Å and the angles 90.00°, 90.00° and 90.00°. Symmetry generates all atoms from Os at (0.0000, 0.0000, 0.0000) and W at (0.2500, 0.2500, 0.2500).

As for the formation energy: 145.4 kJ per mole of atoms. The value obtained for the density of states at the Fermi level is 5.7 states/eV/f.u. The calculation puts the distance to the lowest polymorph of the same formula at 1379 meV per atom. Its total energy is -11.101 eV/atom.


# 2
## Gd2HoCo (GGA-PBE)

Data for Gd2HoCo after structural relaxation.

The structure belongs to space group P4/mmm (No. 123); the cell edges are 3.4251, 3.4251 and 8.8427 Å and the angles 90.00°, 90.00° and 90.00°. Symmetry generates all atoms from Gd at (0.0000, 0.0000, 0.1848), Ho at (0.5000, 0.5000, 0.5000) and Co at (0.5000, 0.5000, 0.0000).

As for the formation energy: -1.5 kJ per mole of atoms. The value obtained for the density of states at the Fermi level is 5.6 states/eV/f.u. The calculation puts the distance to the lowest polymorph of the same formula at 0 meV per atom. Its total energy is -9.977 eV/atom.


# 3
## MgCr4Fe (GGA-PBE)

Data for MgCr4Fe after structural relaxation.

The structure belongs to space group F-43m (No. 216); the cell edges are 6.7474, 6.7474 and 6.7474 Å and the angles 90.00°, 90.00° and 90.00°. Symmetry generates all atoms from Mg at (0.0000, 0.0000, 0.0000), Cr at (0.1256, 0.1256, 0.6256) and Fe at (0.2500, 0.2500, 0.2500).

As for the formation energy: 31.4 kJ per mole of atoms. The value obtained for the density of states at the Fermi level is 4.9 states/eV/f.u. Its total energy is -7.767 eV/atom.